VASP calculation (PBE-GGA) on an optimized crystal structure of SrTaBr.

a = 5.164 Å, b = 5.164 Å, c = 3.396 Å
α = 90.00°, β = 90.00°, γ = 120.00°
Each line ends with the local moment (μB).
Fractional positions:
Sr  0.667  0.333  0.334  0.11
Br  0.000  0.000  0.833  0.00
Ta  0.333  0.667  0.833  1.02

Summary:
Polymorph energy (0 for the lowest one), meV/atom: 1235.0
Crystal system: hexagonal



VASP calculation (PBE-GGA) on an optimized crystal structure of Tm6Mn23.

a = 8.423 Å, b = 8.423 Å, c = 8.423 Å
α = 60.00°, β = 60.00°, γ = 60.00°
Each line ends with the local moment (μB).
Fractional positions:
Tm  0.705  0.705  0.295  0.04
Tm  0.295  0.705  0.295  0.04
Tm  0.705  0.295  0.295  0.04
Tm  0.295  0.295  0.705  0.04
Tm  0.705  0.295  0.705  0.04
Tm  0.295  0.705  0.705  0.04
Mn  0.000  0.000  0.000  -2.46
Mn  0.000  0.000  0.500  -2.04
Mn  0.500  0.000  0.500  -2.04
Mn  0.000  0.500  0.500  -2.04
Mn  0.500  0.500  0.000  -2.04
Mn  0.000  0.500  0.000  -2.04
Mn  0.500  0.000  0.000  -2.04
Mn  0.878  0.878  0.365  1.78
Mn  0.878  0.365  0.878  1.78
Mn  0.365  0.878  0.878  1.78
Mn  0.878  0.878  0.878  1.78
Mn  0.122  0.122  0.635  1.78
Mn  0.122  0.635  0.122  1.78
Mn  0.635  0.122  0.122  1.78
Mn  0.122  0.122  0.122  1.78
Mn  0.677  0.677  0.969  1.60
Mn  0.677  0.969  0.677  1.60
Mn  0.969  0.677  0.677  1.60
Mn  0.677  0.677  0.677  1.60
Mn  0.323  0.323  0.031  1.60
Mn  0.323  0.031  0.323  1.60
Mn  0.031  0.323  0.323  1.60
Mn  0.323  0.323  0.323  1.60

Summary:
Energy of formation from the pure elements, eV per atom: -0.0103
Crystal system: cubic



VASP calculation (PBE-GGA) on an optimized crystal structure of Ba2Bi5Pt4.

a = 6.647 Å, b = 7.808 Å, c = 7.962 Å
α = 72.57°, β = 65.33°, γ = 64.81°
Fractional positions:
Ba  0.278  0.796  0.648
Ba  0.722  0.204  0.352
Bi  0.182  0.256  0.878
Bi  0.818  0.744  0.122
Bi  0.000  0.500  0.500
Bi  0.684  0.256  0.878
Bi  0.316  0.744  0.122
Pt  0.374  0.019  0.232
Pt  0.626  0.981  0.768
Pt  0.768  0.604  0.859
Pt  0.232  0.396  0.141

Summary:
Energy of formation from the pure elements, eV per atom: -0.3704
Crystal system: monoclinic



VASP calculation (PBE-GGA) on an optimized crystal structure of Ba3Te.

a = 12.466 Å, b = 12.466 Å, c = 12.466 Å
α = 21.73°, β = 21.73°, γ = 21.73°
Fractional positions:
Ba  0.726  0.726  0.726
Ba  0.500  0.500  0.500
Ba  0.274  0.274  0.274
Te  0.000  0.000  0.000

Summary:
Polymorph energy (0 for the lowest one), meV/atom: 0.0
Crystal system: trigonal